Entry 1:
Compound: PmDy5Tm
Source: Alexandria via LeMat-Bulk
Functional: PBE
Structure: optimized geometry

a = 5.7548 Å, b = 8.5959 Å, c = 11.9174 Å
α = 90.00°, β = 90.00°, γ = 90.00°
Space group Immm (No. 71)
Symmetry-distinct sites (fractional):
1 Pm 0.0000 0.0000 0.0000 (multiplicity 2)
2 Dy 0.0000 0.0000 0.2449 (multiplicity 4)
3 Dy 0.0000 0.3225 0.0000 (multiplicity 4)
4 Dy 0.0000 0.5000 0.5000 (multiplicity 2)
5 Tm 0.0000 0.0000 0.5000 (multiplicity 2)

Properties
Energy of formation from the pure elements in meV/atom: 1087

***

Entry 2:
Compound: KTaW2
Source: Alexandria via LeMat-Bulk
Functional: PBE
Structure: optimized geometry

a = 2.8002 Å, b = 4.4176 Å, c = 7.9459 Å
α = 90.00°, β = 96.18°, γ = 90.00°
Space group Pm (No. 6)
Symmetry-distinct sites (fractional):
1 K 0.0000 0.0000 0.0000 (multiplicity 1)
2 Ta 0.8355 0.5000 0.3596 (multiplicity 1)
3 W 0.2059 0.5000 0.6603 (multiplicity 1)
4 W 0.4995 0.0000 0.5215 (multiplicity 1)

Properties
Energy of formation from the pure elements in meV/atom: 925

***

Entry 3:
Compound: HfP2SI
Source: Alexandria via LeMat-Bulk
Functional: PBE
Structure: optimized geometry

a = 5.1657 Å, b = 5.1657 Å, c = 4.7919 Å
α = 90.00°, β = 90.00°, γ = 90.00°
Space group P4/mmm (No. 123)
Symmetry-distinct sites (fractional):
1 Hf 0.0000 0.0000 0.0000 (multiplicity 1)
2 P 0.0000 0.5000 0.0000 (multiplicity 2)
3 S 0.0000 0.0000 0.5000 (multiplicity 1)
4 I 0.5000 0.5000 0.5000 (multiplicity 1)

Properties
Raw formation energy in meV/atom: 155

***

Entry 4:
Compound: Na3GaSe3
Source: Alexandria via LeMat-Bulk
Functional: PBE
Structure: optimized geometry

a = 8.4360 Å, b = 7.5340 Å, c = 11.6696 Å
α = 90.00°, β = 97.89°, γ = 90.00°
Space group P2_1/c (No. 14)
Symmetry-distinct sites (fractional):
1 Na 0.0884 0.1687 0.1192 (multiplicity 4)
2 Na 0.3086 0.7449 0.7930 (multiplicity 4)
3 Na 0.4059 0.2398 0.9199 (multiplicity 4)
4 Ga 0.1787 0.5845 0.0498 (multiplicity 4)
5 Se 0.0787 0.0636 0.3646 (multiplicity 4)
6 Se 0.2546 0.6154 0.5203 (multiplicity 4)
7 Se 0.3798 0.0820 0.6663 (multiplicity 4)

Properties
Raw formation energy in meV/atom: -966

***

Entry 5:
Compound: Pm2PaAs
Source: Alexandria via LeMat-Bulk
Functional: PBE
Structure: optimized geometry

a = 3.7387 Å, b = 3.7387 Å, c = 7.6167 Å
α = 90.00°, β = 90.00°, γ = 90.00°
Space group P4/mmm (No. 123)
Symmetry-distinct sites (fractional):
1 Pm 0.0000 0.0000 0.2138 (multiplicity 2)
2 Pa 0.5000 0.5000 0.5000 (multiplicity 1)
3 As 0.5000 0.5000 0.0000 (multiplicity 1)

Properties
Energy of formation from the pure elements in meV/atom: -391

***

Entry 6:
Compound: Ac2Pr5Ho
Source: Alexandria via LeMat-Bulk
Functional: PBE
Structure: optimized geometry

a = 5.3374 Å, b = 5.3374 Å, c = 21.1062 Å
α = 90.00°, β = 90.00°, γ = 90.00°
Space group I4/mmm (No. 139)
Symmetry-distinct sites (fractional):
1 Ac 0.0000 0.0000 0.2498 (multiplicity 4)
2 Pr 0.0000 0.0000 0.0000 (multiplicity 2)
3 Pr 0.0000 0.5000 0.1191 (multiplicity 8)
4 Ho 0.0000 0.0000 0.5000 (multiplicity 2)

Properties
Energy of formation from the pure elements in meV/atom: 28

***

Entry 7:
Compound: In3GeAs
Source: Alexandria via LeMat-Bulk
Functional: PBE
Structure: optimized geometry

a = 5.3498 Å, b = 5.3498 Å, c = 5.3498 Å
α = 90.00°, β = 90.00°, γ = 90.00°
Space group Pm-3m (No. 221)
Symmetry-distinct sites (fractional):
1 In 0.0000 0.0000 0.5000 (multiplicity 3)
2 Ge 0.5000 0.5000 0.5000 (multiplicity 1)
3 As 0.0000 0.0000 0.0000 (multiplicity 1)

Properties
Energy of formation from the pure elements in meV/atom: 519

***

Entry 8:
Compound: Sr2MnHg
Source: Alexandria via LeMat-Bulk
Functional: PBE
Structure: optimized geometry

a = 4.2320 Å, b = 4.2320 Å, c = 27.2703 Å
α = 90.00°, β = 90.00°, γ = 120.00°
Space group R-3m (No. 166, hexagonal axes)
Symmetry-distinct sites (fractional):
1 Sr 0.0000 0.0000 0.2483 (multiplicity 6)
2 Mn 0.0000 0.0000 0.5000 (multiplicity 3)
3 Hg 0.0000 0.0000 0.0000 (multiplicity 3)

Properties
Energy of formation from the pure elements in meV/atom: 245

***

Q: What is the formula in the fifth record?
A: Pm2PaAs

***

Please write out number 6 again, unchanged.
Compound: Ac2Pr5Ho
Source: Alexandria via LeMat-Bulk
Functional: PBE
Structure: optimized geometry

a = 5.3374 Å, b = 5.3374 Å, c = 21.1062 Å
α = 90.00°, β = 90.00°, γ = 90.00°
Space group I4/mmm (No. 139)
Symmetry-distinct sites (fractional):
1 Ac 0.0000 0.0000 0.2498 (multiplicity 4)
2 Pr 0.0000 0.0000 0.0000 (multiplicity 2)
3 Pr 0.0000 0.5000 0.1191 (multiplicity 8)
4 Ho 0.0000 0.0000 0.5000 (multiplicity 2)

Properties
Energy of formation from the pure elements in meV/atom: 28